Entry 1:
An optimized crystal structure of CeMgTi, computed with PBE.

For the formation energy from the elements, the calculation gives 0.36 eV per formula unit. The calculation puts the polymorph energy (0 for the lowest one) at 0 kJ/mol of formula units.

The space group is I4mm (No. 107) and the conventional cell measures 2.990, 2.990 and 14.858 Å, with angles of 90.00, 90.00 and 90.00 degrees. Symmetry generates all atoms from Ce at (0.000, 0.000, 0.000), Mg at (0.000, 0.000, 0.690) and Ti at (0.000, 0.000, 0.343).

***

Entry 2:
An optimized crystal structure of CeMgTi, computed with PBE.

For the formation energy from the elements, the calculation gives 0.47 eV per formula unit. The calculation puts the polymorph energy (0 for the lowest one) at 11 kJ/mol of formula units.

The space group is P-1 (No. 2) and the conventional cell measures 2.981, 6.302 and 7.844 Å, with angles of 74.24, 79.49 and 77.01 degrees. Symmetry generates all atoms from Ce at (0.116, 0.415, 0.348), Mg at (0.418, 0.917, 0.264) and Ti at (0.157, 0.697, 0.994).

***

Entry 3:
An optimized crystal structure of CeMg6Ti, computed with PBE.

For the formation energy from the elements, the calculation gives 1.12 eV per formula unit. The calculation puts the polymorph energy (0 for the lowest one) at 0 kJ/mol of formula units.

The space group is Amm2 (No. 38) and the conventional cell measures 4.938, 6.402 and 11.653 Å, with angles of 90.00, 90.00 and 90.00 degrees. Symmetry generates all atoms from Ce at (0.000, 0.000, 0.000), Mg at (0.000, 0.000, 0.468), Mg at (0.000, 0.244, 0.231), Mg at (0.500, 0.000, 0.624), Mg at (0.500, 0.249, 0.375) and Ti at (0.500, 0.000, 0.109).

***

Entry 4:
An optimized crystal structure of CeMgTi, computed with PBE.

For the formation energy from the elements, the calculation gives 0.50 eV per formula unit. The calculation puts the polymorph energy (0 for the lowest one) at 14 kJ/mol of formula units.

The space group is P3m1 (No. 156) and the conventional cell measures 3.0422, 3.0422 and 8.2528 Å, with angles of 90.00, 90.00 and 120.00 degrees. Symmetry generates all atoms from Ce at (0.0000, 0.0000, 0.0000), Mg at (0.6667, 0.3333, 0.3702) and Ti at (0.3333, 0.6667, 0.6796).